1.
A relaxed CaZrRe2 crystal. Source: the Alexandria database, functional PBE.

Results
For the calculated volume, the calculation gives 18.94 A^3/atom. For the density of states at the Fermi level, the calculation gives 4.554 states/eV/cell. The calculation puts the uncorrected energy at -8.178 eV per atom.

a = 4.9137 Å, b = 4.9137 Å, c = 3.1371 Å
α = 90.00°, β = 90.00°, γ = 90.00°
Sites, in units of the cell vectors:
Re  0.0000  0.0000  0.0000
Re  0.5000  0.5000  0.0000
Ca  0.0000  0.5000  0.5000
Zr  0.5000  0.0000  0.5000

2.
A relaxed CaZrRe crystal. Source: the Alexandria database, functional PBE.

Results
For the calculated volume, the calculation gives 24.16 A^3/atom. For the density of states at the Fermi level, the calculation gives 2.950 states/eV/cell. The calculation puts the uncorrected energy at -6.971 eV per atom.

a = 4.6798 Å, b = 4.6798 Å, c = 4.6798 Å
α = 60.00°, β = 60.00°, γ = 60.00°
Sites, in units of the cell vectors:
Re  0.2500  0.2500  0.2500
Ca  0.5000  0.5000  0.5000
Zr  0.0000  0.0000  0.0000

3.
A relaxed CaZrRe2 crystal. Source: the Alexandria database, functional PBE.

Results
For the calculated volume, the calculation gives 21.80 A^3/atom. For the density of states at the Fermi level, the calculation gives 3.504 states/eV/cell. The calculation puts the uncorrected energy at -8.398 eV per atom.

a = 3.5781 Å, b = 3.5781 Å, c = 6.8121 Å
α = 90.00°, β = 90.00°, γ = 90.00°
Sites, in units of the cell vectors:
Re  0.0000  0.0000  0.0703
Re  0.0000  0.0000  0.4297
Ca  0.5000  0.5000  0.7500
Zr  0.5000  0.5000  0.2500

4.
A relaxed CaZrRe crystal. Source: the Alexandria database, functional PBE.

Results
For the calculated volume, the calculation gives 20.60 A^3/atom. For the density of states at the Fermi level, the calculation gives 3.497 states/eV/cell. The calculation puts the uncorrected energy at -7.189 eV per atom.

a = 4.9221 Å, b = 4.9221 Å, c = 2.9461 Å
α = 90.00°, β = 90.00°, γ = 120.00°
Sites, in units of the cell vectors:
Re  0.6667  0.3333  0.3813
Ca  0.0000  0.0000  0.0133
Zr  0.3333  0.6667  0.6054

5.
A relaxed CaZr2Re crystal. Source: the Alexandria database, functional PBE.

Results
For the calculated volume, the calculation gives 21.43 A^3/atom. For the density of states at the Fermi level, the calculation gives 6.370 states/eV/cell. The calculation puts the uncorrected energy at -7.368 eV per atom.

a = 4.9493 Å, b = 4.9493 Å, c = 4.9493 Å
α = 60.00°, β = 60.00°, γ = 60.00°
Sites, in units of the cell vectors:
Re  0.2500  0.2500  0.2500
Ca  0.5000  0.5000  0.5000
Zr  0.0000  0.0000  0.0000
Zr  0.7500  0.7500  0.7500

6.
A relaxed CaZrRe crystal. Source: the Alexandria database, functional PBE.

Results
For the calculated volume, the calculation gives 23.50 A^3/atom. For the density of states at the Fermi level, the calculation gives 3.395 states/eV/cell. The calculation puts the uncorrected energy at -7.416 eV per atom.

a = 6.4601 Å, b = 6.4601 Å, c = 6.4601 Å
α = 149.20°, β = 149.20°, γ = 44.12°
Sites, in units of the cell vectors:
Re  0.6876  0.6876  0.0000
Ca  0.0205  0.0205  0.0000
Zr  0.2919  0.2919  0.0000